Entry 1:
Cs3Te2Au2 GGA-PBE relaxed; uncorrected energy = -2.871 eV/atom; total magnetic moment = 0.0 μB/cell; calculated volume = 293.53 Å³/cell; formation energy from raw total energies = -671 meV/atom
1.0
-2.430 2.834 10.656
2.430 -2.834 10.656
2.430 2.834 -10.656
Cs Te Au
3 2 2
Direct
0.000 0.000 0.000 Cs
0.183 0.683 0.500 Cs
0.817 0.317 0.500 Cs
0.371 0.871 0.500 Te
0.629 0.129 0.500 Te
0.434 0.434 0.000 Au
0.566 0.566 0.000 Au

Entry 2:
CsTe2Au2 GGA-PBE relaxed; uncorrected energy = -3.075 eV/atom; total magnetic moment = 0.0 μB/cell; calculated volume = 161.48 Å³/cell; formation energy from raw total energies = -336 meV/atom; energy relative to the lowest polymorph listed for this composition = 37.9 meV per atom
1.0
-2.361 2.361 7.245
2.361 -2.361 7.245
2.361 2.361 -7.245
Cs Te Au
1 2 2
Direct
0.000 0.000 0.000 Cs
0.359 0.359 0.000 Te
0.641 0.641 0.000 Te
0.250 0.750 0.500 Au
0.750 0.250 0.500 Au

Entry 3:
CsTe2Au2 GGA-PBE relaxed; uncorrected energy = -3.113 eV/atom; total magnetic moment = 0.0 μB/cell; calculated volume = 198.77 Å³/cell; formation energy from raw total energies = -374 meV/atom; energy relative to the lowest polymorph listed for this composition = 0.0 meV per atom
1.0
-2.792 2.792 6.373
2.792 -2.792 6.373
2.792 2.792 -6.373
Cs Te Au
1 2 2
Direct
0.000 0.000 0.000 Cs
0.250 0.750 0.500 Te
0.750 0.250 0.500 Te
0.282 0.282 0.000 Au
0.718 0.718 0.000 Au

Entry 4:
Cs2Te2Au3 GGA-PBE relaxed; uncorrected energy = -3.000 eV/atom; total magnetic moment = 0.0 μB/cell; calculated volume = 604.08 Å³/cell; formation energy from raw total energies = -454 meV/atom
1.0
7.523 4.343 3.082
-7.523 4.343 3.082
0.000 -8.687 3.082
Cs Te Au
4 4 6
Direct
0.000 0.000 0.000 Cs
0.004 0.512 0.505 Cs
0.505 0.004 0.512 Cs
0.512 0.505 0.004 Cs
0.004 0.008 0.504 Te
0.008 0.504 0.004 Te
0.501 0.501 0.501 Te
0.504 0.004 0.008 Te
0.240 0.754 0.988 Au
0.255 0.521 0.270 Au
0.270 0.255 0.521 Au
0.521 0.270 0.255 Au
0.754 0.989 0.240 Au
0.989 0.240 0.754 Au

Entry 5:
CsTe2Au2 GGA-PBE relaxed; uncorrected energy = -2.852 eV/atom; total magnetic moment = 0.0 μB/cell; calculated volume = 305.84 Å³/cell; formation energy from raw total energies = -114 meV/atom; energy relative to the lowest polymorph listed for this composition = 260.1 meV per atom
1.0
9.617 0.000 0.000
0.000 9.617 0.000
0.000 0.000 3.307
Cs Te Au
2 4 4
Direct
0.000 0.000 0.000 Cs
0.500 0.500 0.000 Cs
0.231 0.269 0.500 Te
0.269 0.769 0.500 Te
0.731 0.231 0.500 Te
0.769 0.731 0.500 Te
0.100 0.600 0.000 Au
0.400 0.100 0.000 Au
0.600 0.900 0.000 Au
0.900 0.400 0.000 Au

Entry 6:
CsTe3Au3 GGA-PBE relaxed; uncorrected energy = -3.097 eV/atom; total magnetic moment = 0.0 μB/cell; calculated volume = 510.81 Å³/cell; formation energy from raw total energies = -224 meV/atom; energy relative to the lowest polymorph listed for this composition = 123.7 meV per atom
1.0
4.041 2.333 9.030
-4.041 2.333 9.030
0.000 -4.666 9.030
Cs Te Au
2 6 6
Direct
0.167 0.167 0.167 Cs
0.833 0.833 0.833 Cs
0.069 0.724 0.396 Te
0.276 0.604 0.931 Te
0.396 0.069 0.724 Te
0.604 0.931 0.276 Te
0.724 0.396 0.069 Te
0.931 0.276 0.604 Te
0.040 0.381 0.721 Au
0.279 0.960 0.619 Au
0.381 0.721 0.040 Au
0.619 0.279 0.960 Au
0.721 0.040 0.381 Au
0.960 0.619 0.279 Au

Entry 7:
Cs2TeAu2 GGA-PBE relaxed; uncorrected energy = -2.833 eV/atom; total magnetic moment = 0.0 μB/cell; calculated volume = 207.99 Å³/cell; formation energy from raw total energies = -552 meV/atom; energy relative to the lowest polymorph listed for this composition = 0.0 meV per atom
1.0
-3.593 3.593 4.029
3.593 -3.593 4.029
3.593 3.593 -4.029
Cs Te Au
2 1 2
Direct
0.250 0.750 0.500 Cs
0.750 0.250 0.500 Cs
0.000 0.000 0.000 Te
0.338 0.338 0.000 Au
0.662 0.662 0.000 Au

Entry 8:
CsTe4Au GGA-PBE relaxed; uncorrected energy = -3.045 eV/atom; total magnetic moment = 0.0 μB/cell; calculated volume = 448.70 Å³/cell; formation energy from raw total energies = -262 meV/atom; energy relative to the lowest polymorph listed for this composition = 0.0 meV per atom
1.0
6.297 0.000 0.000
0.000 6.297 0.000
0.000 0.000 11.317
Cs Te Au
2 8 2
Direct
0.250 0.750 0.250 Cs
0.750 0.250 0.750 Cs
0.002 0.250 0.045 Te
0.250 0.002 0.545 Te
0.250 0.498 0.545 Te
0.498 0.250 0.045 Te
0.502 0.750 0.955 Te
0.750 0.502 0.455 Te
0.750 0.998 0.455 Te
0.998 0.750 0.955 Te
0.250 0.750 0.750 Au
0.750 0.250 0.250 Au

Entry 9:
Cs5TeAu2 GGA-PBE relaxed; uncorrected energy = -2.288 eV/atom; total magnetic moment = 0.0 μB/cell; calculated volume = 796.54 Å³/cell; formation energy from raw total energies = -543 meV/atom
1.0
-4.764 4.764 8.775
4.764 -4.764 8.775
4.764 4.764 -8.775
Cs Te Au
10 2 4
Direct
0.000 0.000 0.000 Cs
0.037 0.537 0.859 Cs
0.178 0.037 0.500 Cs
0.322 0.822 0.859 Cs
0.463 0.322 0.500 Cs
0.500 0.500 0.000 Cs
0.537 0.678 0.500 Cs
0.678 0.178 0.141 Cs
0.822 0.963 0.500 Cs
0.963 0.463 0.141 Cs
0.250 0.250 0.000 Te
0.750 0.750 0.000 Te
0.109 0.391 0.500 Au
0.391 0.891 0.282 Au
0.609 0.109 0.718 Au
0.891 0.609 0.500 Au

Entry 10:
CsTe2Au2 GGA-PBE relaxed; uncorrected energy = -2.740 eV/atom; total magnetic moment = 0.0 μB/cell; calculated volume = 286.89 Å³/cell; formation energy from raw total energies = -2 meV/atom; energy relative to the lowest polymorph listed for this composition = 372.6 meV per atom
1.0
9.145 0.000 0.000
0.000 9.145 0.000
0.000 0.000 3.430
Cs Te Au
2 4 4
Direct
0.000 0.000 0.000 Cs
0.500 0.500 0.000 Cs
0.144 0.356 0.000 Te
0.356 0.856 0.000 Te
0.644 0.144 0.000 Te
0.856 0.644 0.000 Te
0.165 0.665 0.500 Au
0.335 0.165 0.500 Au
0.665 0.835 0.500 Au
0.835 0.335 0.500 Au

Entry 11:
CsTe3Au3 GGA-PBE relaxed; uncorrected energy = -3.221 eV/atom; total magnetic moment = 0.0 μB/cell; calculated volume = 475.15 Å³/cell; formation energy from raw total energies = -348 meV/atom; energy relative to the lowest polymorph listed for this composition = 0.0 meV per atom
1.0
7.803 0.000 0.000
0.000 7.803 0.000
0.000 0.000 7.803
Cs Te Au
2 6 6
Direct
0.000 0.000 0.000 Cs
0.500 0.500 0.500 Cs
0.000 0.250 0.500 Te
0.000 0.750 0.500 Te
0.250 0.500 0.000 Te
0.500 0.000 0.250 Te
0.500 0.000 0.750 Te
0.750 0.500 0.000 Te
0.000 0.500 0.250 Au
0.000 0.500 0.750 Au
0.250 0.000 0.500 Au
0.500 0.250 0.000 Au
0.500 0.750 0.000 Au
0.750 0.000 0.500 Au

Entry 12:
CsTeAu3 GGA-PBE relaxed; uncorrected energy = -2.864 eV/atom; total magnetic moment = 0.0 μB/cell; calculated volume = 168.72 Å³/cell; formation energy from raw total energies = -98 meV/atom; energy relative to the lowest polymorph listed for this composition = 0.0 meV per atom
1.0
5.526 0.000 0.000
0.000 5.526 0.000
0.000 0.000 5.526
Cs Te Au
1 1 3
Direct
0.000 0.000 0.000 Cs
0.500 0.500 0.500 Te
0.000 0.500 0.500 Au
0.500 0.000 0.500 Au
0.500 0.500 0.000 Au

Entry 13:
Cs3Te12Au5 GGA-PBE relaxed; uncorrected energy = -3.008 eV/atom; total magnetic moment = 0.0 μB/cell; calculated volume = 3380.09 Å³/cell; formation energy from raw total energies = -176 meV/atom
1.0
-9.454 9.454 9.454
9.454 -9.454 9.454
9.454 9.454 -9.454
Cs Te Au
12 48 20
Direct
0.125 0.250 0.375 Cs
0.125 0.375 0.750 Cs
0.250 0.375 0.125 Cs
0.250 0.875 0.625 Cs
0.375 0.125 0.250 Cs
0.375 0.750 0.125 Cs
0.625 0.250 0.875 Cs
0.625 0.875 0.750 Cs
0.750 0.125 0.375 Cs
0.750 0.625 0.875 Cs
0.875 0.625 0.250 Cs
0.875 0.750 0.625 Cs
0.033 0.567 0.859 Te
0.033 0.966 0.174 Te
0.034 0.708 0.067 Te
0.034 0.826 0.967 Te
0.067 0.034 0.708 Te
0.067 0.533 0.359 Te
0.141 0.674 0.708 Te
0.141 0.967 0.433 Te
0.174 0.033 0.966 Te
0.174 0.641 0.208 Te
0.208 0.174 0.641 Te
0.208 0.534 0.567 Te
0.292 0.859 0.326 Te
0.292 0.933 0.966 Te
0.326 0.292 0.859 Te
0.326 0.534 0.467 Te
0.359 0.067 0.533 Te
0.359 0.792 0.826 Te
0.433 0.141 0.967 Te
0.433 0.792 0.466 Te
0.466 0.433 0.792 Te
0.466 0.533 0.674 Te
0.467 0.326 0.534 Te
0.467 0.641 0.933 Te
0.533 0.359 0.067 Te
0.533 0.674 0.466 Te
0.534 0.467 0.326 Te
0.534 0.567 0.208 Te
0.567 0.208 0.534 Te
0.567 0.859 0.033 Te
0.641 0.208 0.174 Te
0.641 0.933 0.467 Te
0.674 0.466 0.533 Te
0.674 0.708 0.141 Te
0.708 0.067 0.034 Te
0.708 0.141 0.674 Te
0.792 0.466 0.433 Te
0.792 0.826 0.359 Te
0.826 0.359 0.792 Te
0.826 0.967 0.034 Te
0.859 0.033 0.567 Te
0.859 0.326 0.292 Te
0.933 0.467 0.641 Te
0.933 0.966 0.292 Te
0.966 0.174 0.033 Te
0.966 0.292 0.933 Te
0.967 0.034 0.826 Te
0.967 0.433 0.141 Te
0.000 0.000 0.000 Au
0.000 0.000 0.500 Au
0.000 0.500 0.000 Au
0.000 0.500 0.500 Au
0.125 0.750 0.875 Au
0.125 0.875 0.250 Au
0.250 0.125 0.875 Au
0.250 0.625 0.375 Au
0.375 0.250 0.625 Au
0.375 0.625 0.750 Au
0.500 0.000 0.000 Au
0.500 0.000 0.500 Au
0.500 0.500 0.000 Au
0.500 0.500 0.500 Au
0.625 0.375 0.250 Au
0.625 0.750 0.375 Au
0.750 0.375 0.625 Au
0.750 0.875 0.125 Au
0.875 0.125 0.750 Au
0.875 0.250 0.125 Au

Entry 14:
Cs4TeAu GGA-PBE relaxed; uncorrected energy = -2.237 eV/atom; total magnetic moment = 0.7 μB/cell; calculated volume = 355.71 Å³/cell; formation energy from raw total energies = -598 meV/atom; energy relative to the lowest polymorph listed for this composition = 0.0 meV per atom
1.0
3.138 1.812 10.426
-3.138 1.812 10.426
0.000 -3.624 10.426
Cs Te Au
4 1 1
Direct
0.123 0.123 0.123 Cs
0.376 0.376 0.376 Cs
0.624 0.624 0.624 Cs
0.877 0.877 0.877 Cs
0.000 0.000 0.000 Te
0.500 0.500 0.500 Au

Entry 15:
CsTeAu GGA-PBE relaxed; uncorrected energy = -2.826 eV/atom; total magnetic moment = 0.0 μB/cell; calculated volume = 112.17 Å³/cell; formation energy from raw total energies = -402 meV/atom
1.0
-2.069 2.069 6.552
2.069 -2.069 6.552
2.069 2.069 -6.552
Cs Te Au
1 1 1
Direct
0.000 0.000 0.000 Cs
0.727 0.727 0.000 Te
0.254 0.254 0.000 Au

Entry 16:
Cs2Te6Au GGA-PBE relaxed; uncorrected energy = -2.979 eV/atom; total magnetic moment = 0.0 μB/cell; calculated volume = 384.11 Å³/cell; formation energy from raw total energies = -330 meV/atom
1.0
7.061 -6.771 0.000
7.061 6.771 0.000
-1.244 0.000 4.017
Cs Te Au
2 6 1
Direct
0.210 0.210 0.214 Cs
0.790 0.790 0.786 Cs
0.086 0.570 0.328 Te
0.362 0.638 0.000 Te
0.430 0.914 0.672 Te
0.570 0.086 0.328 Te
0.638 0.362 0.000 Te
0.914 0.430 0.672 Te
0.500 0.500 0.500 Au

Entry 17:
Cs12Te3Au5 GGA-PBE relaxed; uncorrected energy = -2.364 eV/atom; total magnetic moment = 0.0 μB/cell; calculated volume = 4973.36 Å³/cell; formation energy from raw total energies = -562 meV/atom
1.0
-10.753 10.753 10.753
10.753 -10.753 10.753
10.753 10.753 -10.753
Cs Te Au
48 12 20
Direct
0.051 0.223 0.137 Cs
0.051 0.328 0.914 Cs
0.086 0.637 0.413 Cs
0.086 0.949 0.672 Cs
0.087 0.723 0.672 Cs
0.087 0.863 0.414 Cs
0.137 0.051 0.223 Cs
0.137 0.586 0.913 Cs
0.172 0.223 0.587 Cs
0.172 0.449 0.586 Cs
0.223 0.137 0.051 Cs
0.223 0.587 0.172 Cs
0.277 0.328 0.913 Cs
0.277 0.449 0.363 Cs
0.328 0.913 0.277 Cs
0.328 0.914 0.051 Cs
0.363 0.277 0.449 Cs
0.363 0.587 0.914 Cs
0.413 0.086 0.637 Cs
0.413 0.828 0.777 Cs
0.414 0.087 0.863 Cs
0.414 0.828 0.551 Cs
0.449 0.363 0.277 Cs
0.449 0.586 0.172 Cs
0.551 0.414 0.828 Cs
0.551 0.637 0.723 Cs
0.586 0.172 0.449 Cs
0.586 0.913 0.137 Cs
0.587 0.172 0.223 Cs
0.587 0.914 0.363 Cs
0.637 0.413 0.086 Cs
0.637 0.723 0.551 Cs
0.672 0.086 0.949 Cs
0.672 0.087 0.723 Cs
0.723 0.551 0.637 Cs
0.723 0.672 0.087 Cs
0.777 0.413 0.828 Cs
0.777 0.863 0.949 Cs
0.828 0.551 0.414 Cs
0.828 0.777 0.413 Cs
0.863 0.414 0.087 Cs
0.863 0.949 0.777 Cs
0.913 0.137 0.586 Cs
0.913 0.277 0.328 Cs
0.914 0.051 0.328 Cs
0.914 0.363 0.587 Cs
0.949 0.672 0.086 Cs
0.949 0.777 0.863 Cs
0.125 0.250 0.375 Te
0.125 0.375 0.750 Te
0.250 0.375 0.125 Te
0.250 0.875 0.625 Te
0.375 0.125 0.250 Te
0.375 0.750 0.125 Te
0.625 0.250 0.875 Te
0.625 0.875 0.750 Te
0.750 0.125 0.375 Te
0.750 0.625 0.875 Te
0.875 0.625 0.250 Te
0.875 0.750 0.625 Te
0.000 0.000 0.000 Au
0.000 0.000 0.500 Au
0.000 0.500 0.000 Au
0.000 0.500 0.500 Au
0.125 0.750 0.875 Au
0.125 0.875 0.250 Au
0.250 0.125 0.875 Au
0.250 0.625 0.375 Au
0.375 0.250 0.625 Au
0.375 0.625 0.750 Au
0.500 0.000 0.000 Au
0.500 0.000 0.500 Au
0.500 0.500 0.000 Au
0.500 0.500 0.500 Au
0.625 0.375 0.250 Au
0.625 0.750 0.375 Au
0.750 0.375 0.625 Au
0.750 0.875 0.125 Au
0.875 0.125 0.750 Au
0.875 0.250 0.125 Au